No. 1
{"formula": "Na2LiInF6", "functional": "PBE", "state": "optimized geometry", "sg": "Fm-3m, No. 225", "e_above_lowest_polymorph_mev_per_atom": 76.7, "formation_energy_uncorrected_ev_per_atom": -2.65, "lattice_angstrom": [[0.000, 4.083, 4.083], [4.083, 0.000, 4.083], [4.083, 4.083, 0.000]], "species": ["Na", "Na", "Li", "In", "F", "F", "F", "F", "F", "F"], "frac_coords": [[0.250, 0.250, 0.250], [0.750, 0.750, 0.750], [0.500, 0.500, 0.500], [0.000, 0.000, 0.000], [0.745, 0.255, 0.255], [0.745, 0.255, 0.745], [0.255, 0.745, 0.745], [0.255, 0.255, 0.745], [0.745, 0.745, 0.255], [0.255, 0.745, 0.255]]}

No. 2
{"formula": "NaLiInF6", "functional": "PBE", "state": "optimized geometry", "sg": "P312, No. 149", "formation_energy_uncorrected_ev_per_atom": -2.34, "lattice_angstrom": [[-2.397, -3.647, 1.517], [4.197, -1.430, 3.194], [-3.875, 3.343, 1.915]], "species": ["Na", "Li", "In", "F", "F", "F", "F", "F", "F"], "frac_coords": [[0.500, 0.667, 0.333], [0.500, 0.000, 0.000], [0.000, 0.333, 0.667], [0.741, 0.667, 0.696], [0.741, 0.304, 0.971], [0.741, 0.029, 0.333], [0.259, 0.304, 0.333], [0.259, 0.667, 0.971], [0.259, 0.029, 0.696]]}

No. 3
{"formula": "NaLiInF5", "functional": "PBE", "state": "optimized geometry", "sg": "C2/c, No. 15", "formation_energy_uncorrected_ev_per_atom": -2.71, "lattice_angstrom": [[-0.346, -4.428, 3.764], [3.922, -1.308, -4.099], [3.565, 5.571, 4.146]], "species": ["Na", "Na", "Li", "Li", "In", "In", "F", "F", "F", "F", "F", "F", "F", "F", "F", "F"], "frac_coords": [[0.350, 0.650, 0.250], [0.650, 0.350, 0.750], [0.688, 0.312, 0.250], [0.312, 0.688, 0.750], [0.000, 0.000, 0.500], [0.000, 0.000, 0.000], [0.097, 0.903, 0.250], [0.903, 0.097, 0.750], [0.939, 0.318, 0.134], [0.061, 0.682, 0.866], [0.682, 0.061, 0.366], [0.318, 0.939, 0.634], [0.740, 0.621, 0.426], [0.260, 0.379, 0.574], [0.379, 0.260, 0.074], [0.621, 0.740, 0.926]]}

No. 4
{"formula": "Na2LiInF6", "functional": "PBE", "state": "optimized geometry", "sg": "P2_1/c, No. 14", "e_above_lowest_polymorph_mev_per_atom": 0.0, "formation_energy_uncorrected_ev_per_atom": -2.72, "lattice_angstrom": [[5.546, 0.000, 0.058], [0.000, 5.727, 0.000], [0.133, 0.000, 8.018]], "species": ["Na", "Na", "Na", "Na", "Li", "Li", "In", "In", "F", "F", "F", "F", "F", "F", "F", "F", "F", "F", "F", "F"], "frac_coords": [[0.021, 0.942, 0.256], [0.521, 0.558, 0.756], [0.979, 0.058, 0.744], [0.479, 0.442, 0.244], [0.500, 0.000, 0.000], [0.000, 0.500, 0.500], [0.500, 0.000, 0.500], [0.000, 0.500, 0.000], [0.305, 0.703, 0.057], [0.805, 0.797, 0.557], [0.695, 0.297, 0.943], [0.195, 0.203, 0.443], [0.302, 0.702, 0.434], [0.802, 0.798, 0.934], [0.698, 0.298, 0.566], [0.198, 0.202, 0.066], [0.881, 0.549, 0.249], [0.381, 0.951, 0.749], [0.119, 0.451, 0.751], [0.619, 0.049, 0.251]]}

No. 5
{"formula": "NaLiIn2F8", "functional": "PBE", "state": "optimized geometry", "sg": "P2/m, No. 10", "formation_energy_uncorrected_ev_per_atom": -2.64, "lattice_angstrom": [[-3.480, 3.487, -0.542], [-3.045, -2.193, 3.286], [2.815, 3.587, 5.003]], "species": ["Na", "Li", "In", "In", "F", "F", "F", "F", "F", "F", "F", "F"], "frac_coords": [[0.000, 0.000, 0.500], [0.000, 0.000, 0.000], [0.500, 0.500, 0.755], [0.500, 0.500, 0.245], [0.201, 0.797, 0.232], [0.694, 0.694, 0.000], [0.799, 0.203, 0.232], [0.799, 0.203, 0.768], [0.306, 0.306, 0.000], [0.201, 0.797, 0.768], [0.682, 0.682, 0.500], [0.318, 0.318, 0.500]]}

No. 6
{"formula": "Na3Li3In2F12", "functional": "PBE", "state": "optimized geometry", "sg": "Ia-3d, No. 230", "formation_energy_uncorrected_ev_per_atom": -2.77, "lattice_angstrom": [[11.154, 0.000, 0.000], [-3.718, 10.516, 0.000], [-3.718, -5.258, 9.107]], "species": ["Na", "Na", "Na", "Na", "Na", "Na", "Na", "Na", "Na", "Na", "Na", "Na", "Li", "Li", "Li", "Li", "Li", "Li", "Li", "Li", "Li", "Li", "Li", "Li", "In", "In", "In", "In", "In", "In", "In", "In", "F", "F", "F", "F", "F", "F", "F", "F", "F", "F", "F", "F", "F", "F", "F", "F", "F", "F", "F", "F", "F", "F", "F", "F", "F", "F", "F", "F", "F", "F", "F", "F", "F", "F", "F", "F", "F", "F", "F", "F", "F", "F", "F", "F", "F", "F", "F", "F"], "frac_coords": [[0.875, 0.750, 0.625], [0.875, 0.625, 0.250], [0.625, 0.875, 0.750], [0.250, 0.875, 0.625], [0.750, 0.625, 0.875], [0.625, 0.250, 0.875], [0.125, 0.250, 0.375], [0.125, 0.375, 0.750], [0.375, 0.125, 0.250], [0.750, 0.125, 0.375], [0.250, 0.375, 0.125], [0.375, 0.750, 0.125], [0.375, 0.625, 0.750], [0.625, 0.375, 0.250], [0.625, 0.750, 0.375], [0.250, 0.125, 0.875], [0.875, 0.250, 0.125], [0.750, 0.375, 0.625], [0.250, 0.625, 0.375], [0.750, 0.875, 0.125], [0.125, 0.750, 0.875], [0.375, 0.250, 0.625], [0.875, 0.125, 0.750], [0.125, 0.875, 0.250], [0.500, 0.000, 0.500], [0.000, 0.500, 0.000], [0.500, 0.500, 0.500], [0.000, 0.000, 0.500], [0.000, 0.000, 0.000], [0.000, 0.500, 0.500], [0.500, 0.500, 0.000], [0.500, 0.000, 0.000], [0.682, 0.083, 0.705], [0.705, 0.682, 0.083], [0.523, 0.401, 0.818], [0.622, 0.417, 0.099], [0.401, 0.083, 0.878], [0.795, 0.878, 0.977], [0.705, 0.523, 0.622], [0.083, 0.705, 0.682], [0.099, 0.977, 0.682], [0.622, 0.705, 0.523], [0.083, 0.878, 0.401], [0.417, 0.818, 0.795], [0.818, 0.795, 0.417], [0.523, 0.622, 0.705], [0.682, 0.099, 0.977], [0.977, 0.682, 0.099], [0.878, 0.401, 0.083], [0.818, 0.523, 0.401], [0.878, 0.977, 0.795], [0.099, 0.622, 0.417], [0.401, 0.818, 0.523], [0.417, 0.099, 0.622], [0.977, 0.795, 0.878], [0.795, 0.417, 0.818], [0.318, 0.917, 0.295], [0.295, 0.318, 0.917], [0.477, 0.599, 0.182], [0.378, 0.583, 0.901], [0.599, 0.917, 0.122], [0.205, 0.122, 0.023], [0.295, 0.477, 0.378], [0.917, 0.295, 0.318], [0.901, 0.023, 0.318], [0.378, 0.295, 0.477], [0.917, 0.122, 0.599], [0.583, 0.182, 0.205], [0.182, 0.205, 0.583], [0.477, 0.378, 0.295], [0.318, 0.901, 0.023], [0.023, 0.318, 0.901], [0.122, 0.599, 0.917], [0.182, 0.477, 0.599], [0.122, 0.023, 0.205], [0.901, 0.378, 0.583], [0.599, 0.182, 0.477], [0.583, 0.901, 0.378], [0.023, 0.205, 0.122], [0.205, 0.583, 0.182]]}